No. 1
Ca3Al9Ag2: relaxed, PBE-GGA.

It has space group Immm (No. 71), with a = 4.4706 Å, b = 9.8927 Å, c = 12.8536 Å, α = 90.00°, β = 90.00° and γ = 90.00°. The distinct sites, in fractional coordinates, are Ca at (0.0000, 0.0000, 0.0000), Ca at (0.0000, 0.0000, 0.2954), Al at (0.0000, 0.2822, 0.1415), Al at (0.0000, 0.3657, 0.3449), Al at (0.0000, 0.5000, 0.0000) and Ag at (0.0000, 0.1814, 0.5000).

The total energy is -98.3 eV for the cell shown. For the mass density, the calculation gives 3.4 g cm⁻³.

=====

No. 2
LiCa5Cd6: relaxed, PBE-GGA.

It has space group C2/m (No. 12), with a = 9.2380 Å, b = 15.9782 Å, c = 5.3277 Å, α = 90.00°, β = 124.80° and γ = 90.00°. The distinct sites, in fractional coordinates, are Li at (0.0000, 0.0000, 0.0000), Ca at (0.0000, 0.1790, 0.5000), Ca at (0.0000, 0.3380, 0.0000), Ca at (0.0000, 0.5000, 0.5000), Cd at (0.2157, 0.0000, 0.7192) and Cd at (0.2288, 0.1556, 0.2275).

The total energy is -42.3 eV for the cell shown. For the mass density, the calculation gives 4.5 g cm⁻³.

=====

No. 3
Pa2GaPb: relaxed, PBE-GGA.

It has space group P4/mmm (No. 123), with a = 3.3236 Å, b = 3.3236 Å, c = 8.8138 Å, α = 90.00°, β = 90.00° and γ = 90.00°. The distinct sites, in fractional coordinates, are Pa at (0.0000, 0.0000, 0.2248), Ga at (0.5000, 0.5000, 0.0000) and Pb at (0.5000, 0.5000, 0.5000).

The total energy is -26.0 eV for the cell shown. For the mass density, the calculation gives 12.6 g cm⁻³. The calculation puts the relative energy among the computed polymorphs at 0.000 eV/atom.

=====

No. 4
LaPr2Er6: relaxed, PBE-GGA.

It has space group P-3 (No. 147), with a = 9.7790 Å, b = 9.7790 Å, c = 3.5480 Å, α = 90.00°, β = 90.00° and γ = 120.00°. The distinct sites, in fractional coordinates, are La at (0.0000, 0.0000, 0.0000), Pr at (0.3333, 0.6667, 0.7640) and Er at (0.0216, 0.6695, 0.2702).

The total energy is -41.2 eV for the cell shown. For the mass density, the calculation gives 8.0 g cm⁻³. The calculation puts the relative energy among the computed polymorphs at 0.047 eV/atom.

=====

| no. | E_form (eV/atom) |
| --- | --- |
| 1 | -0.27 |
| 2 | -0.31 |
| 3 | -0.06 |
| 4 | 0.08 |